No. 1
VASP calculation (PBE) on a relaxed structure of Sb2P.

a b c (Å): 6.1030 6.1030 6.1030
angles (deg): 146.02 146.02 48.82
Fractional coordinates of all 3 atoms:
Sb 0.1378 0.1378 0.0000
Sb 0.8622 0.8622 0.0000
P 0.5000 0.5000 0.0000

Calculated values
Energy above the most stable polymorph in this dataset   0.71 eV per formula unit
Energy relative to the elements, uncorrected   375 meV per atom
DFT total energy   -12.529 eV for the cell shown

***

No. 2
VASP calculation (PBE) on a relaxed structure of SbP2.

a b c (Å): 3.3293 3.3293 6.3556
angles (deg): 90.00 90.00 120.00
Fractional coordinates of all 3 atoms:
Sb 0.0000 0.0000 0.0000
P 0.3333 0.6667 0.4029
P 0.6667 0.3333 0.5971

Calculated values
Energy above the most stable polymorph in this dataset   0.38 eV per formula unit
Energy relative to the elements, uncorrected   183 meV per atom
DFT total energy   -14.393 eV for the cell shown

***

No. 3
VASP calculation (PBE) on a relaxed structure of SbP.

a b c (Å): 3.2099 6.0608 6.5702
angles (deg): 107.11 103.67 105.30
Fractional coordinates of all 4 atoms:
Sb 0.3740 0.9752 0.2627
Sb 0.6260 0.0248 0.7373
P 0.6634 0.4520 0.3704
P 0.3366 0.5480 0.6296

Calculated values
Energy above the most stable polymorph in this dataset   0.02 eV per formula unit
Energy relative to the elements, uncorrected   90 meV per atom
DFT total energy   -18.704 eV for the cell shown

***

No. 4
VASP calculation (PBE) on a relaxed structure of SbP2.

a b c (Å): 5.5038 5.5038 10.0502
angles (deg): 90.00 90.00 120.00
Fractional coordinates of all 12 atoms:
P 0.8650 0.1350 0.2500
Sb 0.3333 0.6667 0.9665
P 0.0000 0.0000 0.5000
P 0.7300 0.8650 0.7500
P 0.0000 0.0000 0.0000
P 0.8650 0.7300 0.2500
Sb 0.6667 0.3333 0.4665
Sb 0.6667 0.3333 0.0335
P 0.2700 0.1350 0.2500
Sb 0.3333 0.6667 0.5335
P 0.1350 0.2700 0.7500
P 0.1350 0.8650 0.7500

Calculated values
Energy above the most stable polymorph in this dataset   1.40 eV per formula unit
Energy relative to the elements, uncorrected   522 meV per atom
DFT total energy   -53.502 eV for the cell shown

***

No. 5
VASP calculation (PBE) on a relaxed structure of Sb4P5.

a b c (Å): 7.8977 7.8977 7.2092
angles (deg): 90.00 90.00 120.00
Fractional coordinates of all 18 atoms:
Sb 0.5831 0.5831 0.2500
Sb 0.5831 0.0000 0.7500
P 0.0000 0.2481 0.7500
P 0.7519 0.0000 0.2500
P 0.0000 0.7519 0.2500
Sb 0.0000 0.4169 0.2500
P 0.6667 0.3333 0.0000
Sb 0.4169 0.0000 0.2500
P 0.2481 0.0000 0.7500
Sb 0.0000 0.0000 0.5000
P 0.3333 0.6667 0.5000
P 0.7519 0.7519 0.7500
P 0.3333 0.6667 0.0000
P 0.6667 0.3333 0.5000
Sb 0.4169 0.4169 0.7500
Sb 0.0000 0.5831 0.7500
Sb 0.0000 0.0000 0.0000
P 0.2481 0.2481 0.2500

Calculated values
Energy above the most stable polymorph in this dataset   0.17 eV per formula unit
Energy relative to the elements, uncorrected   429 meV per atom
DFT total energy   -79.357 eV for the cell shown

***

No. 6
VASP calculation (PBE) on a relaxed structure of Sb2P.

a b c (Å): 4.5941 4.5941 3.6588
angles (deg): 90.00 90.00 90.00
Fractional coordinates of all 3 atoms:
P 0.0000 0.0000 0.0000
Sb 0.0000 0.5000 0.5000
Sb 0.5000 0.0000 0.5000

Calculated values
Energy above the most stable polymorph in this dataset   0.63 eV per formula unit
Energy relative to the elements, uncorrected   349 meV per atom
DFT total energy   -12.608 eV for the cell shown

***

No. 7
VASP calculation (PBE) on a relaxed structure of Sb2P.

a b c (Å): 6.0895 6.0895 8.2510
angles (deg): 89.81 89.81 37.46
Fractional coordinates of all 6 atoms:
Sb 0.2485 0.2485 0.0683
Sb 0.5788 0.5788 0.7554
Sb 0.9167 0.9167 0.4370
P 0.0371 0.0371 0.9596
Sb 0.6822 0.6822 0.3067
P 0.3700 0.3700 0.6396

Calculated values
Energy above the most stable polymorph in this dataset   0.00 eV per formula unit
Energy relative to the elements, uncorrected   138 meV per atom
DFT total energy   -26.481 eV for the cell shown

***

No. 8
VASP calculation (PBE) on a relaxed structure of SbP.

a b c (Å): 3.9567 4.1796 17.1043
angles (deg): 90.00 90.00 90.00
Fractional coordinates of all 12 atoms:
Sb 0.5000 0.2292 0.3371
P 0.5000 0.1858 0.8377
P 0.5000 0.1858 0.1623
P 0.5000 0.3126 0.5000
Sb 0.0000 0.7708 0.1629
Sb 0.5000 0.2605 0.0000
P 0.0000 0.8142 0.6623
P 0.0000 0.6874 0.0000
Sb 0.5000 0.2292 0.6629
Sb 0.0000 0.7708 0.8371
P 0.0000 0.8142 0.3377
Sb 0.0000 0.7395 0.5000

Calculated values
Energy above the most stable polymorph in this dataset   0.09 eV per formula unit
Energy relative to the elements, uncorrected   126 meV per atom
DFT total energy   -55.684 eV for the cell shown

***

No. 9
VASP calculation (PBE) on a relaxed structure of SbP.

a b c (Å): 7.6863 7.6863 7.6863
angles (deg): 90.00 90.00 90.00
Fractional coordinates of all 12 atoms:
P 0.5000 0.0000 0.2500
P 0.2500 0.5000 0.0000
Sb 0.7500 0.0000 0.5000
Sb 0.5000 0.2500 0.0000
Sb 0.0000 0.5000 0.2500
P 0.7500 0.5000 0.0000
Sb 0.0000 0.5000 0.7500
P 0.0000 0.2500 0.5000
Sb 0.2500 0.0000 0.5000
P 0.5000 0.0000 0.7500
Sb 0.5000 0.7500 0.0000
P 0.0000 0.7500 0.5000

Calculated values
Energy above the most stable polymorph in this dataset   0.79 eV per formula unit
Energy relative to the elements, uncorrected   475 meV per atom
DFT total energy   -51.490 eV for the cell shown

***

No. 10
VASP calculation (PBE) on a relaxed structure of SbP.

a b c (Å): 5.7833 3.2721 5.8714
angles (deg): 90.00 109.31 90.00
Fractional coordinates of all 4 atoms:
Sb 0.7451 0.7500 0.5176
Sb 0.2549 0.2500 0.4824
P 0.3613 0.2500 0.9531
P 0.6387 0.7500 0.0469

Calculated values
Energy above the most stable polymorph in this dataset   0.07 eV per formula unit
Energy relative to the elements, uncorrected   115 meV per atom
DFT total energy   -18.605 eV for the cell shown

***

No. 11
VASP calculation (PBE) on a relaxed structure of SbP2.

a b c (Å): 5.4982 5.4982 5.4982
angles (deg): 115.56 115.56 97.89
Fractional coordinates of all 6 atoms:
Sb 0.7500 0.7500 0.0000
Sb 0.2500 0.2500 0.0000
P 0.3725 0.8725 0.2449
P 0.8725 0.6275 0.5000
P 0.1275 0.3725 0.5000
P 0.6275 0.1275 0.7551

Calculated values
Energy above the most stable polymorph in this dataset   0.65 eV per formula unit
Energy relative to the elements, uncorrected   274 meV per atom
DFT total energy   -28.241 eV for the cell shown

***

No. 12
VASP calculation (PBE) on a relaxed structure of Sb4P5.

a b c (Å): 8.7556 8.7556 8.7556
angles (deg): 91.91 91.91 158.98
Fractional coordinates of all 9 atoms:
Sb 0.2253 0.0000 0.2253
P 0.2958 0.7042 0.0000
P 0.7042 0.7042 0.4084
Sb 0.7747 0.0000 0.7747
P 0.7042 0.2958 0.0000
Sb 0.0000 0.7747 0.7747
P 0.2958 0.2958 0.5916
P 0.0000 0.0000 0.0000
Sb 0.0000 0.2253 0.2253

Calculated values
Energy above the most stable polymorph in this dataset   0.00 eV per formula unit
Energy relative to the elements, uncorrected   410 meV per atom
DFT total energy   -39.848 eV for the cell shown

***

- The highest DFT total energy belongs to which entry?
  number 1